A plane-wave DFT calculation with GGA-PBE was carried out for a relaxed structure of NaAc3Cd8.

Values from the calculation:
- calculated formation energy (eV/atom) = -0.250
- theoretical density (g/cm³) = 7.98
- V (Å³/atom) = 27.80
- space group = No. 156

```
NaAc3Cd8
1.0
6.249 0.000 0.000
-3.125 5.412 0.000
0.000 0.000 9.864
Na Ac Cd
1 3 8
direct
0.000 0.000 0.000
0.000 0.000 0.378
0.667 0.333 0.499
0.667 0.333 0.885
0.163 0.327 0.693
0.163 0.837 0.693
0.333 0.667 0.440
0.333 0.667 0.941
0.501 0.001 0.189
0.501 0.499 0.189
0.673 0.837 0.693
0.999 0.499 0.189
```